Entry 1:
Material: CsGdMg
Method: DFT, GGA-PBE
State: relaxed

Cell and atoms, written as extended XYZ:
```
3
Lattice="0.0000 4.1902 4.1902 4.1902 0.0000 4.1902 4.1902 4.1902 0.0000" Properties=species:S:1:pos:R:3 pbc="T T T"
Cs 2.0951 2.0951 2.0951
Gd 6.2853 6.2853 6.2853
Mg 0.0000 0.0000 0.0000
```

Output
The value obtained for the electronic total energy is -1.529 eV/atom. Its space group is No. 216. The value obtained for the total magnetization is 1.13 μB/f.u.

***

Entry 2:
Material: CsGdMgS3
Method: DFT, GGA-PBE
State: relaxed

Cell and atoms, written as extended XYZ:
```
24
Lattice="10.8898 0.0000 0.0000 0.0000 4.1501 0.0000 0.0000 0.0000 15.5423" Properties=species:S:1:pos:R:3 pbc="T T T"
Mg 8.2754 3.1126 4.4786
Mg 2.8305 3.1126 3.2926
Mg 8.0593 1.0375 12.2497
Mg 2.6144 1.0375 11.0638
Cs 2.6487 3.1126 7.5923
Cs 8.0936 3.1126 0.1789
Cs 8.2411 1.0375 7.9501
Cs 2.7962 1.0375 15.3634
S 5.9482 1.0375 13.4038
S 6.1808 3.1126 5.6670
S 2.6218 3.1126 12.4329
S 10.1539 1.0375 13.4382
S 8.0667 3.1126 10.8806
S 2.8231 1.0375 4.6617
S 0.7359 3.1126 2.1041
S 0.5033 1.0375 9.9097
S 4.9416 3.1126 2.1385
S 4.7090 1.0375 9.8753
S 10.3865 3.1126 5.6326
S 8.2680 1.0375 3.1094
Gd 5.3407 3.1126 11.6287
Gd 0.1041 1.0375 3.8575
Gd 10.7856 3.1126 11.6849
Gd 5.5490 1.0375 3.9137
```

Output
The value obtained for the electronic total energy is -4.934 eV/atom. Its space group is No. 62. The value obtained for the total magnetization is 0.00 μB/f.u.

***

Entry 3:
Material: CsGdMgS3
Method: DFT, GGA-PBE
State: relaxed

Cell and atoms, written as extended XYZ:
```
12
Lattice="2.0765 -7.8103 0.0000 2.0765 7.8103 0.0000 0.0000 0.0000 10.8961" Properties=species:S:1:pos:R:3 pbc="T T T"
S 2.0765 -6.0567 6.0811
S 2.0765 0.7949 2.7240
S 2.0765 6.0567 0.6330
S 2.0765 6.0567 4.8150
S 2.0765 -6.0567 10.2630
S 2.0765 -0.7949 8.1721
Mg 2.0765 -7.2448 8.1721
Mg 2.0765 7.2448 2.7240
Gd 2.0765 0.0000 5.4480
Gd 2.0765 0.0000 0.0000
Cs 2.0765 -4.0534 2.7240
Cs 2.0765 4.0534 8.1721
```

Output
The value obtained for the electronic total energy is -4.935 eV/atom. Its space group is No. 63. The value obtained for the total magnetization is 0.00 μB/f.u.

***

Entry 4:
Material: CsNdGd3
Method: DFT, GGA-PBE
State: relaxed

Cell and atoms, written as extended XYZ:
```
10
Lattice="3.9190 0.5395 7.5514 -6.6943 -3.7252 3.7393 3.8885 -3.8160 -6.5568" Properties=species:S:1:pos:R:3 pbc="T T T"
Gd -0.1280 -4.2936 5.1930
Gd 5.1497 -4.3332 0.0432
Gd -4.0366 -2.6685 4.6907
Gd -2.0815 -2.3893 8.4681
Gd -0.6938 -0.7964 2.8227
Gd 1.2411 -2.7082 -0.4591
Nd 0.0000 0.0000 0.0000
Nd -1.3877 -1.5929 5.6454
Cs 3.2099 -2.4347 3.3200
Cs -2.0968 -4.5670 1.4139
```

Output
The value obtained for the electronic total energy is -3.179 eV/atom. Its space group is No. 140. The value obtained for the total magnetization is 0.01 μB/f.u.

***

Entry 5:
Material: Cs2NdGdO4
Method: DFT, GGA-PBE
State: relaxed

Cell and atoms, written as extended XYZ:
```
8
Lattice="3.6061 0.0000 0.0000 -1.8031 3.1230 0.0000 0.0000 0.0000 13.6237" Properties=species:S:1:pos:R:3 pbc="T T T"
O 0.0000 2.0820 5.6028
O 0.0000 2.0820 1.1268
O 1.8031 1.0410 12.4969
O 1.8031 1.0410 8.0209
Cs 1.8031 1.0410 3.3840
Cs 0.0000 2.0820 10.2397
Nd 0.0000 0.0000 6.8119
Gd 0.0000 0.0000 0.0000
```

Output
The value obtained for the electronic total energy is -6.413 eV/atom. Its space group is No. 164. The value obtained for the total magnetization is 0.01 μB/f.u.

***

Entry 6:
Material: CsNdGdSe3
Method: DFT, GGA-PBE
State: relaxed

Cell and atoms, written as extended XYZ:
```
12
Lattice="-7.3007 3.8650 2.2383 5.9053 -1.5198 -6.0056 -5.8813 -9.0928 -3.4819" Properties=species:S:1:pos:R:3 pbc="T T T"
Se -5.3615 -3.0489 -2.7840
Se 3.6150 -3.4586 -6.3642
Se -10.8917 -3.2889 -0.8850
Se 0.6388 0.2500 -2.9531
Se -7.9155 -6.9975 -4.2961
Se -1.9152 -3.6987 -4.4652
Gd 0.0000 0.0000 0.0000
Gd -2.9406 -4.5464 -1.7410
Cs -5.3024 0.1774 -0.7975
Cs -1.9744 -6.9250 -6.4517
Nd -1.7226 -1.2822 -3.0322
Nd -5.5541 -5.4654 -4.2170
```

Output
The value obtained for the electronic total energy is -4.986 eV/atom. Its space group is No. 63. The value obtained for the total magnetization is 0.15 μB/f.u.

***

Entry 7:
Material: Cs2NdGdSe4
Method: DFT, GGA-PBE
State: relaxed

Cell and atoms, written as extended XYZ:
```
8
Lattice="-1.7834 1.1833 3.7818 -2.0297 -2.8687 -2.5561 8.0027 -12.5133 7.6890" Properties=species:S:1:pos:R:3 pbc="T T T"
Se -1.2087 -2.6734 0.2665
Se 1.2774 -6.5608 2.6551
Se 5.3984 -11.5254 8.6483
Se 2.9122 -7.6380 6.2596
Cs 4.0694 -10.9264 5.3377
Cs 0.1203 -3.2724 3.5771
Nd 4.0014 -6.2567 3.8445
Gd 0.0000 0.0000 0.0000
```

Output
The value obtained for the electronic total energy is -4.864 eV/atom. Its space group is No. 164. The value obtained for the total magnetization is 0.00 μB/f.u.

***

Entry 8:
Material: CsGdNiS3
Method: DFT, GGA-PBE
State: relaxed

Cell and atoms, written as extended XYZ:
```
24
Lattice="11.6593 0.0000 0.0000 0.0000 4.1804 0.0000 0.0000 0.0000 12.2280" Properties=species:S:1:pos:R:3 pbc="T T T"
S 3.3309 0.0000 9.1519
S 2.4987 2.0902 3.0378
S 8.3284 2.0902 3.0762
S 4.4544 2.0902 11.6619
S 5.0044 0.0000 3.4689
S 6.6548 2.0902 8.7592
S 9.1605 0.0000 9.1902
S 10.2840 2.0902 6.6802
S 1.3753 0.0000 5.5479
S 7.2049 0.0000 0.5661
S 0.8252 2.0902 9.5829
S 10.8341 0.0000 2.6451
Cs 1.8096 0.0000 0.2569
Cs 7.6392 0.0000 5.8571
Cs 9.8497 2.0902 11.9711
Cs 4.0201 2.0902 6.3710
Ni 8.6272 0.0000 2.3588
Ni 2.7976 0.0000 3.7552
Ni 8.8617 2.0902 8.4728
Ni 3.0320 2.0902 9.8692
Gd 11.6444 0.0000 7.9579
Gd 5.8445 2.0902 1.8439
Gd 0.0149 2.0902 4.2702
Gd 5.8148 0.0000 10.3842
```

Output
For the relative energy among the computed polymorphs, the calculation gives 0.0687 eV per atom. Its space group is No. 62. The value obtained for the total magnetization is 0.17 μB/f.u.

***

Entry 9:
Material: CsGdNiS3
Method: DFT, GGA-PBE
State: relaxed

Cell and atoms, written as extended XYZ:
```
12
Lattice="-3.2981 5.3905 4.7894 -5.3181 2.0133 5.5261 6.9389 -2.4956 7.5871" Properties=species:S:1:pos:R:3 pbc="T T T"
Gd 3.4695 -1.2478 3.7935
Gd 0.0000 0.0000 0.0000
Ni 0.6192 2.0682 11.1796
Ni -2.2964 2.8401 6.7229
S -1.3220 3.1156 10.6579
S -0.3552 1.7927 7.2446
S -3.0144 5.1905 15.5297
S 1.1626 2.2220 13.3747
S 1.3371 -0.2822 2.3728
S -2.8398 2.6863 4.5278
Cs 2.9776 0.0416 8.3560
Cs -4.6548 4.8666 9.5465
```

Output
For the relative energy among the computed polymorphs, the calculation gives 0.0164 eV per atom. Its space group is No. 63. The value obtained for the total magnetization is 1.97 μB/f.u.

***

Entry 10:
Material: CsGdNiS3
Method: DFT, GGA-PBE
State: relaxed

Cell and atoms, written as extended XYZ:
```
12
Lattice="-9.0416 2.1465 -1.4954 -0.9851 -3.8267 0.4631 2.1838 0.5711 9.3649" Properties=species:S:1:pos:R:3 pbc="T T T"
Cs -0.5385 -0.0750 6.7803
Cs -7.3044 -1.0341 1.5522
S -2.1405 -2.4856 0.5430
S -4.2483 0.3636 2.5128
S -0.5861 -0.4975 3.1878
S -5.7024 1.3764 7.7895
S -3.5946 -1.4727 5.8197
S -7.2568 -0.6117 5.1447
Ni -0.7211 -0.7374 0.9177
Ni -7.1217 -0.3717 7.4148
Gd -4.9180 0.8493 5.1025
Gd -2.9249 -1.9585 3.2300
```

Output
For the relative energy among the computed polymorphs, the calculation gives 0.0000 eV per atom. Its space group is No. 11. The value obtained for the total magnetization is 1.26 μB/f.u.

***

Entry 11:
Material: CsGdPO
Method: DFT, GGA-PBE
State: relaxed

Cell and atoms, written as extended XYZ:
```
8
Lattice="4.5258 0.0000 0.0000 0.0000 4.5258 0.0000 0.0000 0.0000 9.8394" Properties=species:S:1:pos:R:3 pbc="T T T"
O 2.2629 2.2629 0.0000
O 0.0000 0.0000 0.0000
Cs 0.0000 0.0000 4.9197
Cs 2.2629 2.2629 4.9197
Gd 0.0000 2.2629 0.6684
Gd 2.2629 0.0000 9.1710
P 0.0000 2.2629 7.4589
P 2.2629 0.0000 2.3806
```

Output
For the relative energy among the computed polymorphs, the calculation gives 0.2867 eV per atom. Its space group is No. 129. The value obtained for the total magnetization is 1.00 μB/f.u.

***

Entry 12:
Material: Cs3GdP2O8
Method: DFT, GGA-PBE
State: relaxed

Cell and atoms, written as extended XYZ:
```
56
Lattice="-9.7450 -0.8318 -3.0410 -1.1024 -8.4787 5.8515 -5.9388 5.4335 6.7544" Properties=species:S:1:pos:R:3 pbc="T T T"
Cs -5.2827 1.9479 2.2471
Cs -9.4938 2.2998 4.8666
Cs -1.4256 0.4168 1.8714
Cs -9.2137 -0.0164 9.2955
Cs -11.0028 -1.9739 4.6601
Cs -3.1168 -4.4141 6.4609
Cs -7.0067 -1.4207 5.4869
Cs -7.1406 -5.0090 3.8926
Cs -13.6316 0.8278 2.9032
Cs -14.9941 -1.4745 5.7476
Cs -7.2475 -1.3613 -1.4557
Cs -10.2938 -6.4114 6.8077
P -5.0316 -7.8783 4.9612
P -3.5309 -1.6604 4.5548
P -8.2685 -1.1542 2.3323
P -8.6352 -3.6249 7.8561
P -13.6207 -5.0262 6.9494
P -7.0818 2.4776 7.4690
P -12.1831 0.7049 6.8786
P -9.7797 -6.9342 2.4956
O -11.1770 1.7063 7.5262
O -3.7645 -0.4846 3.5385
O -1.0619 -7.0291 4.8202
O -9.5751 -2.9995 11.3746
O -5.9185 -7.9617 3.6802
O -12.9741 -4.9803 8.3872
O -13.0655 -3.7285 6.2584
O -13.2436 -6.3067 6.1947
O -8.6460 -2.5384 2.9860
O -4.9551 -6.4345 5.4687
O -4.0317 -1.3318 5.9662
O -7.7992 -2.4603 8.4916
O -8.9591 -1.2017 0.9243
O -15.8980 1.8145 5.6675
O -7.6638 -4.3587 0.5929
O -5.4264 -4.1143 10.1147
O -4.3276 -2.8614 3.9139
O -10.0833 -5.4820 1.9984
O -7.1335 1.0178 7.0131
O -12.0674 0.7392 5.3512
O -6.4726 3.3772 6.3432
O -4.5972 -0.3149 0.1860
O -11.7612 -2.8500 1.5810
O -14.2892 -1.9198 8.8023
O -6.7202 -1.0897 2.1662
O -10.1169 -3.1803 7.6694
O -8.5856 -4.7650 8.9432
O -9.9288 -7.0172 4.0164
O -2.5590 -2.4352 1.0926
O -11.8191 -0.7169 7.4155
O -8.7579 0.0091 3.1943
O -8.0573 -4.1124 6.5260
Gd -7.5364 -3.5249 10.6240
Gd -9.6577 -3.4883 1.1052
Gd -4.6390 -1.8615 1.7982
Gd -12.2413 -2.7395 8.2663
```

Output
The value obtained for the electronic total energy is -6.677 eV/atom. Its space group is No. 4. The value obtained for the total magnetization is 0.00 μB/f.u.